1.
This record from Alexandria describes a relaxed structure of GdCo3B2. The functional is PBEsol.

Lattice parameters (Å, degrees): 2.971 4.966 4.966 120.00 90.00 90.00
Last column: magnetic moment on the atom in μB.
Fractional positions:
1 Co 0.500 0.500 0.500  -0.03
2 Co 0.500 0.000 0.500  -0.03
3 Co 0.500 0.500 0.000  -0.03
4 B 0.000 0.667 0.333  6.93
5 B 0.000 0.333 0.667  -0.01
6 Gd 0.000 0.000 0.000  -0.01

Summary:
Energy ... -54.947 eV per cell
Energy relative to the elements ... -12.51 kcal/mol of atoms

2.
This record from Alexandria describes a relaxed structure of CoB2H. The functional is PBEsol.

Lattice parameters (Å, degrees): 3.256 3.256 5.656 106.73 106.73 90.00
Last column: magnetic moment on the atom in μB.
Fractional positions:
1 B 0.625 0.375 0.750  0.01
2 B 0.625 0.875 0.250  0.01
3 B 0.625 0.375 0.250  0.01
4 B 0.125 0.375 0.750  0.01
5 Co 0.000 0.000 0.000  0.83
6 Co 0.250 0.750 0.500  0.83
7 H 0.500 0.500 0.000  0.01
8 H 0.750 0.250 0.500  0.01

Summary:
Energy ... -45.695 eV per cell

3.
This record from Alexandria describes a relaxed structure of Co3BH. The functional is PBEsol.

Lattice parameters (Å, degrees): 3.361 3.361 3.361 90.00 90.00 90.00
Fractional positions:
1 Co 0.000 0.000 0.500
2 Co 0.000 0.500 0.000
3 Co 0.500 0.000 0.000
4 B 0.500 0.500 0.500
5 H 0.000 0.000 0.000

Summary:
ΔE to the lowest computed polymorph ... 0 meV per atom
Energy ... -32.838 eV per cell

4.
This record from Alexandria describes a relaxed structure of CoB3H. The functional is PBEsol.

Lattice parameters (Å, degrees): 3.080 3.080 3.080 90.00 90.00 90.00
Fractional positions:
1 B 0.000 0.500 0.000
2 B 0.500 0.000 0.000
3 B 0.000 0.000 0.500
4 H 0.000 0.000 0.000
5 Co 0.500 0.500 0.500

Summary:
Energy ... -27.661 eV per cell

5.
This record from Alexandria describes a relaxed structure of NaCoBP2H2O9. The functional is PBEsol.

Lattice parameters (Å, degrees): 6.493 9.601 11.242 90.00 90.00 106.98
Last column: magnetic moment on the atom in μB.
Fractional positions:
1 Co 0.617 0.401 0.927  2.62
2 Co 0.383 0.599 0.073  2.62
3 Co 0.383 0.099 0.427  2.62
4 Co 0.617 0.901 0.573  2.62
5 O 0.684 0.073 0.933  0.00
6 O 0.511 0.786 0.198  0.03
7 O 0.636 0.514 0.779  0.04
8 O 0.636 0.014 0.721  0.04
9 O 0.074 0.604 0.113  0.04
10 O 0.694 0.046 0.145  0.01
11 O 0.684 0.573 0.567  0.00
12 O 0.306 0.454 0.645  0.01
13 O 0.316 0.927 0.067  0.00
14 O 0.602 0.253 0.058  0.05
15 O 0.108 0.203 0.844  0.01
16 O 0.697 0.086 0.471  0.08
17 O 0.303 0.914 0.529  0.08
18 O 0.364 0.486 0.221  0.04
19 O 0.968 0.225 0.050  0.00
20 O 0.602 0.753 0.442  0.05
21 O 0.968 0.725 0.450  0.00
22 O 0.316 0.427 0.433  0.00
23 O 0.489 0.214 0.802  0.03
24 O 0.108 0.703 0.656  0.01
25 O 0.306 0.954 0.855  0.01
26 O 0.074 0.104 0.387  0.04
27 O 0.892 0.797 0.156  0.01
28 O 0.489 0.714 0.698  0.03
29 O 0.926 0.396 0.887  0.04
30 O 0.892 0.297 0.344  0.01
31 O 0.032 0.775 0.950  0.00
32 O 0.697 0.586 0.029  0.08
33 O 0.926 0.896 0.613  0.04
34 O 0.398 0.747 0.942  0.05
35 O 0.303 0.414 0.971  0.08
36 O 0.398 0.247 0.558  0.05
37 O 0.694 0.546 0.355  0.01
38 O 0.511 0.286 0.302  0.03
39 O 0.032 0.275 0.550  0.00
40 O 0.364 0.986 0.279  0.04
41 B 0.732 0.153 0.047  0.00
42 B 0.268 0.847 0.953  0.00
43 B 0.732 0.653 0.453  0.00
44 B 0.268 0.347 0.547  0.00
45 P 0.469 0.434 0.324  0.01
46 P 0.077 0.317 0.938  0.01
47 P 0.531 0.566 0.676  0.01
48 P 0.923 0.183 0.438  0.01
49 P 0.077 0.817 0.562  0.01
50 P 0.469 0.934 0.176  0.01
51 P 0.923 0.683 0.062  0.01
52 P 0.531 0.066 0.824  0.01
53 Na 0.069 0.050 0.187  0.00
54 Na 0.931 0.950 0.813  0.00
55 Na 0.931 0.450 0.687  0.00
56 Na 0.069 0.550 0.313  0.00
57 H 0.568 0.272 0.142  0.00
58 H 0.731 0.289 0.326  0.00
59 H 0.568 0.772 0.358  0.00
60 H 0.731 0.789 0.174  0.00
61 H 0.432 0.728 0.858  0.00
62 H 0.432 0.228 0.642  0.00
63 H 0.269 0.711 0.674  0.00
64 H 0.269 0.211 0.826  0.00

Summary:
Energy ... -446.345 eV per cell

6.
This record from Alexandria describes a relaxed structure of CoBPH2O6. The functional is PBEsol.

Lattice parameters (Å, degrees): 7.406 7.406 12.623 90.00 90.00 120.00
Last column: magnetic moment on the atom in μB.
Fractional positions:
1 B 0.307 0.734 0.377  0.01
2 B 0.734 0.307 0.956  0.01
3 B 0.693 0.427 0.290  0.01
4 B 0.573 0.266 0.623  0.01
5 B 0.427 0.693 0.044  0.01
6 B 0.266 0.573 0.710  0.01
7 Co 0.000 0.141 0.833  2.60
8 Co 0.000 0.234 0.333  2.62
9 Co 0.859 0.859 0.167  2.60
10 Co 0.766 0.766 0.667  2.62
11 Co 0.234 0.000 0.000  2.62
12 Co 0.141 0.000 0.500  2.60
13 H 0.741 0.298 0.425  0.00
14 H 0.557 0.259 0.092  0.00
15 H 0.443 0.702 0.575  0.00
16 H 0.702 0.443 0.759  0.00
17 H 0.648 0.117 0.823  0.00
18 H 0.298 0.741 0.908  0.00
19 H 0.117 0.648 0.510  0.00
20 H 0.469 0.352 0.490  0.00
21 H 0.531 0.883 0.177  0.00
22 H 0.259 0.557 0.241  0.00
23 H 0.883 0.531 0.157  0.00
24 H 0.352 0.469 0.843  0.00
25 O 0.884 0.092 0.681  0.08
26 O 0.748 0.483 0.890  0.01
27 O 0.817 0.786 0.505  0.08
28 O 0.092 0.884 0.652  0.08
29 O 0.459 0.674 0.650  0.06
30 O 0.248 0.415 0.785  0.06
31 O 0.483 0.748 0.444  0.01
32 O 0.415 0.248 0.548  0.06
33 O 0.520 0.607 0.970  0.01
34 O 0.752 0.167 0.881  0.06
35 O 0.735 0.252 0.556  0.01
36 O 0.674 0.459 0.683  0.06
37 O 0.517 0.265 0.223  0.01
38 O 0.086 0.480 0.636  0.01
39 O 0.792 0.908 0.319  0.08
40 O 0.252 0.735 0.777  0.01
41 O 0.785 0.326 0.350  0.06
42 O 0.914 0.393 0.030  0.01
43 O 0.585 0.833 0.119  0.06
44 O 0.326 0.785 0.984  0.06
45 O 0.541 0.215 0.016  0.06
46 O 0.833 0.585 0.215  0.06
47 O 0.393 0.914 0.303  0.01
48 O 0.214 0.031 0.838  0.08
49 O 0.607 0.520 0.364  0.01
50 O 0.031 0.214 0.495  0.08
51 O 0.116 0.208 0.985  0.08
52 O 0.969 0.183 0.171  0.08
53 O 0.908 0.792 0.015  0.08
54 O 0.167 0.752 0.452  0.06
55 O 0.215 0.541 0.317  0.06
56 O 0.480 0.086 0.697  0.01
57 O 0.183 0.969 0.162  0.08
58 O 0.786 0.817 0.829  0.08
59 O 0.208 0.116 0.348  0.08
60 O 0.265 0.517 0.110  0.01
61 P 0.747 0.684 0.928  0.01
62 P 0.253 0.937 0.739  0.01
63 P 0.684 0.747 0.406  0.01
64 P 0.937 0.253 0.594  0.01
65 P 0.063 0.316 0.072  0.01
66 P 0.316 0.063 0.261  0.01

Summary:
Energy ... -462.649 eV per cell

7.
This record from Alexandria describes a relaxed structure of ZrCoBH2. The functional is PBEsol.

Lattice parameters (Å, degrees): 3.346 3.346 3.824 90.00 90.00 90.00
Fractional positions:
1 H 0.000 0.500 0.000
2 H 0.500 0.000 0.000
3 B 0.000 0.000 0.500
4 Co 0.000 0.000 0.000
5 Zr 0.500 0.500 0.500

Summary:
Energy ... -31.992 eV per cell

8.
This record from Alexandria describes a relaxed structure of Hf2CoB2. The functional is PBEsol.

Lattice parameters (Å, degrees): 3.473 5.850 5.850 90.00 90.00 90.00
Fractional positions:
1 Hf 0.500 0.681 0.819
2 Hf 0.500 0.819 0.319
3 Hf 0.500 0.181 0.681
4 Hf 0.500 0.319 0.181
5 Co 0.000 0.000 0.000
6 Co 0.000 0.500 0.500
7 B 0.000 0.888 0.612
8 B 0.000 0.112 0.388
9 B 0.000 0.612 0.112
10 B 0.000 0.388 0.888

Summary:
Energy ... -93.010 eV per cell
Energy relative to the elements ... -17.20 kcal/mol of atoms

9.
This record from Alexandria describes a relaxed structure of HfCoBTe2. The functional is PBEsol.

Lattice parameters (Å, degrees): 3.657 5.055 5.055 90.00 90.00 90.00
Fractional positions:
1 B 0.500 0.000 0.000
2 Te 0.000 0.500 0.000
3 Te 0.000 0.000 0.500
4 Co 0.000 0.000 0.000
5 Hf 0.500 0.500 0.500

Summary:
Uncorrected formation energy ... 0.280 eV per atom
Energy ... -30.911 eV per cell

10.
This record from Alexandria describes a relaxed structure of CoHgB2. The functional is PBEsol.

Lattice parameters (Å, degrees): 3.621 3.621 7.541 103.89 103.89 90.00
Fractional positions:
1 Hg 0.000 0.000 0.000
2 Hg 0.250 0.750 0.500
3 B 0.625 0.875 0.250
4 B 0.625 0.375 0.250
5 B 0.625 0.375 0.750
6 B 0.125 0.375 0.750
7 Co 0.750 0.250 0.500
8 Co 0.500 0.500 0.000

Summary:
Energy ... -41.265 eV per cell
Energy relative to the elements ... 9.82 kcal/mol of atoms

11.
This record from Alexandria describes a relaxed structure of HoCo2B2. The functional is PBEsol.

Lattice parameters (Å, degrees): 3.501 3.501 5.195 109.69 109.69 90.00
Fractional positions:
1 Ho 0.000 0.000 0.000
2 B 0.354 0.354 0.707
3 B 0.646 0.646 0.293
4 Co 0.250 0.750 0.500
5 Co 0.750 0.250 0.500

Summary:
Energy ... -37.669 eV per cell
Energy relative to the elements ... -14.82 kcal/mol of atoms

12.
This record from Alexandria describes a relaxed structure of HoCo4B. The functional is PBEsol.

Lattice parameters (Å, degrees): 4.903 4.903 6.750 90.00 90.00 120.00
Last column: magnetic moment on the atom in μB.
Fractional positions:
1 Co 0.667 0.333 0.000  1.54
2 Co 0.500 0.000 0.714  0.71
3 Co 0.500 0.500 0.714  0.71
4 Co 0.000 0.500 0.714  0.71
5 Co 0.500 0.000 0.286  0.71
6 Co 0.500 0.500 0.286  0.71
7 Co 0.000 0.500 0.286  0.71
8 Co 0.333 0.667 0.000  1.54
9 B 0.333 0.667 0.500  -0.04
10 B 0.667 0.333 0.500  -0.04
11 Ho 0.000 0.000 0.500  -0.21
12 Ho 0.000 0.000 0.000  -0.20

Summary:
Energy ... -89.960 eV per cell
Energy relative to the elements ... -7.94 kcal/mol of atoms